No. 1
A plane-wave DFT calculation with GGA-PBE was carried out for crystalline TbTmIn4 at its relaxed geometry.

- Space-group type: No. 216
- DFT formation energy: -0.30 eV per atom
- Magnetic moment: 0.00 μB/cell

Unit cell a=5.9823 b=5.9823 c=5.9823 alpha=60.00 beta=60.00 gamma=60.00
Positions (direct):
Tm  0.2500  0.2500  0.2500
Tb  0.0000  0.0000  0.0000
In  0.6250  0.6250  0.1250
In  0.6250  0.1250  0.6250
In  0.6250  0.6250  0.6250
In  0.1250  0.6250  0.6250

***

No. 2
A plane-wave DFT calculation with GGA-PBE was carried out for crystalline MgRu2Pb at its relaxed geometry.

- Space-group type: No. 12
- DFT formation energy: 0.34 eV per atom
- Magnetic moment: 0.00 μB/cell

Unit cell a=4.6735 b=4.6735 c=5.2998 alpha=78.78 beta=78.78 gamma=38.26
Positions (direct):
Mg  0.7500  0.7500  0.7500
Pb  0.2500  0.2500  0.2500
Ru  0.0000  0.0000  0.9612
Ru  0.5000  0.5000  0.5388

***

No. 3
A plane-wave DFT calculation with GGA-PBE was carried out for crystalline Pa2HRh at its relaxed geometry.

- Space-group type: No. 123
- Magnetic moment: 0.57 μB/cell

Unit cell a=3.2217 b=3.2217 c=6.5318 alpha=90.00 beta=90.00 gamma=90.00
Site moments in Bohr magnetons follow the coordinates.
Positions (direct):
H  0.5000  0.5000  0.0000  0.00
Pa  0.0000  0.0000  0.7894  0.27
Pa  0.0000  0.0000  0.2106  0.27
Rh  0.5000  0.5000  0.5000  -0.01

***

no.,D(E_F) (states/eV/f.u.),DFT total energy (eV/atom),ρ (g cm⁻³)
1,3.95,-3.643,8.6
2,3.62,-5.623,10.3
3,6.54,-7.638,13.9